Below is a geometry-optimized Cd2GePt3 structure, with properties calculated at the PBE level.

```
Cd2GePt3
1.0
-1.628 -4.161 -2.416
2.974 -4.051 0.737
-2.044 -3.462 3.104
Pt Cd Ge
3 2 1
direct
0.500 0.000 0.000
0.000 0.000 0.500
0.000 0.500 0.000
0.377 0.377 0.377
0.623 0.623 0.623
0.000 0.000 0.000
```

Computed properties:
Theoretical density, kg/m³: 13843
E_tot, eV per atom: -4.4726


Below is a geometry-optimized K4Y3ZrO8 structure, with properties calculated at the PBE level.

```
K4Y3ZrO8
1.0
6.889 0.000 0.000
0.000 7.401 0.350
-3.445 -3.437 4.877
Zr Y O K
1 3 8 4
direct
0.000 0.500 0.000
0.000 0.500 0.500
0.500 0.500 0.000
0.500 0.500 0.500
0.729 0.687 0.458
0.779 0.315 0.036
0.257 0.315 0.036
0.221 0.685 0.441
0.779 0.315 0.559
0.271 0.313 0.542
0.743 0.685 0.964
0.221 0.685 0.964
0.000 0.000 0.000
0.500 0.000 0.000
0.500 0.000 0.500
0.000 0.000 0.500
```

Computed properties:
Energy relative to the elements, uncorrected, eV/f.u.: -42.06
Theoretical density, kg/m³: 4151
E_tot, eV per atom: -7.1283


Below is a geometry-optimized RbSiNi2S structure, with properties calculated at the PBE level.

```
RbSiNi2S
1.0
-3.447 0.792 2.871
-0.719 -5.646 0.695
2.923 0.058 3.493
Ni S Si Rb
2 1 1 1
direct
0.000 0.000 0.500
0.500 0.000 0.000
0.000 0.500 0.000
0.500 0.500 0.500
0.000 0.000 0.000
```

Computed properties:
Energy relative to the elements, uncorrected, eV/f.u.: 9.97
Theoretical density, kg/m³: 3670
E_tot, eV per atom: -2.4228


Below is a geometry-optimized BiIrW2 structure, with properties calculated at the PBE level.

```
BiIrW2
1.0
5.984 0.000 0.000
0.000 5.984 0.000
2.992 2.992 5.992
W Ir Bi
4 2 2
direct
0.375 0.426 0.750
0.875 0.824 0.750
0.574 0.125 0.250
0.176 0.625 0.250
0.250 0.750 0.500
0.500 0.500 0.000
0.000 0.000 0.000
0.750 0.250 0.500
```

Computed properties:
Theoretical density, kg/m³: 11901
E_tot, eV per atom: -8.2056


Below is a geometry-optimized Li5PrTl6 structure, with properties calculated at the PBE level.

```
Li5PrTl6
1.0
-1.431 0.796 -4.661
-5.272 -5.517 -1.942
-5.537 4.427 2.455
Pr Li Tl
1 5 6
direct
0.000 0.000 0.000
0.000 0.000 0.500
0.326 0.348 0.000
0.674 0.652 0.000
0.670 0.660 0.500
0.330 0.340 0.500
0.173 0.654 0.264
0.827 0.346 0.264
0.500 0.000 0.282
0.500 0.000 0.718
0.827 0.346 0.736
0.173 0.654 0.736
```

Computed properties:
Theoretical density, kg/m³: 8400
E_tot, eV per atom: -2.6274


Below is a geometry-optimized MgCuAu structure, with properties calculated at the PBE level.

```
MgCuAu
1.0
-0.686 3.947 -1.521
0.660 0.842 -4.149
-3.330 0.749 -2.590
Au Cu Mg
1 1 1
direct
0.500 0.500 0.500
0.750 0.750 0.750
0.000 0.000 0.000
```

Computed properties:
Theoretical density, kg/m³: 8503
ΔE to the lowest computed polymorph, meV/atom: 134
E_tot, eV per atom: -3.1488


Below is a geometry-optimized TaRuAu2 structure, with properties calculated at the PBE level.

```
TaRuAu2
1.0
3.673 0.000 0.000
0.000 3.130 0.008
0.000 3.114 5.911
Ta Au Ru
1 2 1
direct
0.500 0.770 0.725
0.500 0.248 0.251
0.000 0.999 0.000
0.000 0.482 0.523
```

Computed properties:
Theoretical density, kg/m³: 16535
ΔE to the lowest computed polymorph, meV/atom: 0
E_tot, eV per atom: -6.9978


Below is a geometry-optimized Ba2LiNiS structure, with properties calculated at the PBE level.

```
Ba2LiNiS
1.0
5.925 0.000 0.000
0.000 4.118 0.000
0.000 0.000 5.925
Ba Ni Li S
2 1 1 1
direct
0.500 0.000 0.000
0.000 0.000 0.500
0.500 0.500 0.500
0.000 0.000 0.000
0.000 0.500 0.000
```

Computed properties:
Energy relative to the elements, uncorrected, eV/f.u.: -1.05
Theoretical density, kg/m³: 4277
E_tot, eV per atom: -3.3427